Record 1
Computed, not measured: a relaxed structure of LiMgCd2 at the PBE-GGA level of DFT.

Computed properties:
Final energy = -1.31 eV per atom
Calculated formation energy = 0.1 eV/f.u.
Total magnetic moment = 0.00 μB/cell

Unit cell a=7.773 b=7.773 c=6.251 alpha=51.56 beta=51.56 gamma=90.00
Sites, in units of the cell vectors:
Mg  0.000  0.000  0.000
Cd  0.875  0.856  0.750
Mg  0.750  0.250  0.500
Cd  0.606  0.125  0.250
Cd  0.144  0.625  0.250
Li  0.500  0.500  0.000
Cd  0.375  0.394  0.750
Li  0.250  0.750  0.500

=====

Record 2
Computed, not measured: a relaxed structure of Rb2LiCd at the PBE-GGA level of DFT.

Computed properties:
Final energy = -0.99 eV per atom
Calculated formation energy = 0.8 eV/f.u.
Total magnetic moment = 0.00 μB/cell

Unit cell a=10.328 b=10.328 c=8.204 alpha=50.99 beta=50.99 gamma=90.00
Sites, in units of the cell vectors:
Rb  0.635  0.125  0.250
Li  0.250  0.750  0.500
Rb  0.875  0.885  0.750
Cd  0.000  0.000  0.000
Rb  0.375  0.365  0.750
Rb  0.115  0.625  0.250
Cd  0.750  0.250  0.500
Li  0.500  0.500  0.000

=====

Record 3
Computed, not measured: a relaxed structure of Dy2Mn2GaCo5 at the PBE-GGA level of DFT.

Computed properties:
Final energy = -6.62 eV per atom
Calculated formation energy = -0.1 eV/f.u.
Total magnetic moment = 20.51 μB/cell

Unit cell a=3.586 b=9.069 c=9.069 alpha=90.00 beta=90.00 gamma=90.00
Sites, in units of the cell vectors:
Mn  0.000  0.383  0.117
Co  0.500  0.945  0.200
Dy  0.000  0.682  0.182
Co  0.500  0.800  0.945
Co  0.500  0.055  0.800
Co  0.500  0.700  0.445
Co  0.500  0.000  0.500
Dy  0.000  0.818  0.682
Ga  0.000  0.500  0.500
Co  0.500  0.500  0.000
Mn  0.000  0.883  0.383
Dy  0.000  0.182  0.318
Ga  0.000  0.000  0.000
Mn  0.000  0.617  0.883
Co  0.500  0.200  0.055
Dy  0.000  0.318  0.818
Co  0.500  0.445  0.300
Co  0.500  0.300  0.555
Mn  0.000  0.117  0.617
Co  0.500  0.555  0.700

=====

Record 4
Computed, not measured: a relaxed structure of TlHN2F at the PBE-GGA level of DFT.

Computed properties:
Final energy = -3.57 eV per atom
Total magnetic moment = 0.39 μB/cell
Energy above the lowest structure with this stoichiometry = 0.000 eV/atom

Unit cell a=3.355 b=3.355 c=4.399 alpha=90.00 beta=90.00 gamma=90.00
Sites, in units of the cell vectors:
H  0.000  0.000  0.000
F  0.000  0.000  0.500
N  0.500  0.000  0.000
Tl  0.500  0.500  0.500
N  0.000  0.500  0.000

=====

Record 5
Computed, not measured: a relaxed structure of ZnNi2PdCl at the PBE-GGA level of DFT.

Computed properties:
Final energy = -3.14 eV per atom
Total magnetic moment = 1.02 μB/cell

Unit cell a=4.495 b=4.698 c=4.495 alpha=90.00 beta=90.00 gamma=90.00
Sites, in units of the cell vectors:
Cl  0.500  0.500  0.500
Pd  0.000  0.500  0.000
Ni  0.500  0.000  0.000
Ni  0.000  0.000  0.500
Zn  0.000  0.000  0.000

=====

Record 6
Computed, not measured: a relaxed structure of Sc2MnRe at the PBE-GGA level of DFT.

Computed properties:
Final energy = -8.39 eV per atom
Calculated formation energy = 0.7 eV/f.u.
Total magnetic moment = 2.33 μB/cell

Unit cell a=5.615 b=5.254 c=2.832 alpha=80.19 beta=79.30 gamma=118.97
Sites, in units of the cell vectors:
Sc  0.000  0.000  0.000
Mn  0.000  0.500  0.500
Re  0.500  0.500  0.000
Sc  0.500  0.000  0.500

=====

Record 7
Computed, not measured: a relaxed structure of FePdRu2 at the PBE-GGA level of DFT.

Computed properties:
Final energy = -7.68 eV per atom
Calculated formation energy = 1.5 eV/f.u.
Total magnetic moment = 2.94 μB/cell
Energy above the lowest structure with this stoichiometry = 0.000 eV/atom

Unit cell a=4.296 b=4.296 c=4.296 alpha=60.00 beta=60.00 gamma=60.00
Sites, in units of the cell vectors:
Ru  0.250  0.250  0.250
Ru  0.750  0.750  0.750
Fe  0.000  0.000  0.000
Pd  0.500  0.500  0.500

=====

Record 8
Computed, not measured: a relaxed structure of InSb2Rh at the PBE-GGA level of DFT.

Computed properties:
Final energy = -4.77 eV per atom
Total magnetic moment = 0.00 μB/cell

Unit cell a=7.286 b=7.286 c=7.286 alpha=32.59 beta=32.59 gamma=32.59
Sites, in units of the cell vectors:
Rh  0.500  0.500  0.500
In  0.000  0.000  0.000
Sb  0.772  0.772  0.772
Sb  0.228  0.228  0.228

=====

Copy entry 7 word for word.
Computed, not measured: a relaxed structure of FePdRu2 at the PBE-GGA level of DFT.

Computed properties:
Final energy = -7.68 eV per atom
Calculated formation energy = 1.5 eV/f.u.
Total magnetic moment = 2.94 μB/cell
Energy above the lowest structure with this stoichiometry = 0.000 eV/atom

Unit cell a=4.296 b=4.296 c=4.296 alpha=60.00 beta=60.00 gamma=60.00
Sites, in units of the cell vectors:
Ru  0.250  0.250  0.250
Ru  0.750  0.750  0.750
Fe  0.000  0.000  0.000
Pd  0.500  0.500  0.500

=====

The highest final energy belongs to which entry? Rb2LiCd